This record from Alexandria via LeMat-Bulk describes NdSm2Tm8 after structural relaxation. The functional is PBE.

Cell: 18.000 4.996 7.894 Å, 90.00 105.23 90.00°
Space group C2/m (No. 12)
One atom of each set of equivalent atoms:
Nd 0.000 0.000 0.000 x2
Sm 0.228 0.500 0.637 x4
Tm 0.045 0.500 0.726 x4
Tm 0.090 0.000 0.456 x4
Tm 0.136 0.500 0.181 x4
Tm 0.182 0.000 0.908 x4

Properties
Raw total energy: -0.332 Ry/atom
Energy above the most stable polymorph in this dataset: 0.0000 eV per atom
Crystal system: monoclinic
Formation energy: 0.3 eV/f.u.